# 1
The following is a DFT calculation (PBE-GGA) of TaHg2Te after structural relaxation.

Calculated values
Spin magnetization   0.00 μB per cell
E_tot   -3.423 eV per atom
Symmetry   R-3m (166)
Crystal system   trigonal

a = 3.164 Å, b = 3.164 Å, c = 32.457 Å
α = 90.00°, β = 90.00°, γ = 120.00°
Positions (direct):
Ta 0.000 0.000 0.000
Ta 0.333 0.667 0.667
Ta 0.667 0.333 0.333
Hg 0.000 0.000 0.261
Hg 0.000 0.000 0.739
Hg 0.333 0.667 0.406
Hg 0.333 0.667 0.928
Hg 0.667 0.333 0.072
Hg 0.667 0.333 0.594
Te 0.000 0.000 0.500
Te 0.333 0.667 0.167
Te 0.667 0.333 0.833

# 2
The following is a DFT calculation (PBE-GGA) of CrInRu2 after structural relaxation.

Calculated values
Spin magnetization   2.59 μB per cell
DFT formation energy   1.0 eV per formula unit
Symmetry   I-4m2 (119)
Crystal system   tetragonal

a = 3.815 Å, b = 3.815 Å, c = 8.380 Å
α = 90.00°, β = 90.00°, γ = 90.00°
Positions (direct):
Cr 0.000 0.000 0.000
Cr 0.500 0.500 0.500
In 0.000 0.500 0.750
In 0.500 0.000 0.250
Ru 0.000 0.000 0.500
Ru 0.000 0.500 0.250
Ru 0.500 0.000 0.750
Ru 0.500 0.500 0.000

# 3
The following is a DFT calculation (PBE-GGA) of PrTcB after structural relaxation.

Calculated values
Spin magnetization   0.00 μB per cell
DFT formation energy   0.0 eV per formula unit
Symmetry   C2/m (12)
Crystal system   monoclinic

a = 11.046 Å, b = 3.428 Å, c = 6.403 Å
α = 90.00°, β = 107.88°, γ = 90.00°
Positions (direct):
Pr 0.100 0.000 0.287
Pr 0.400 0.500 0.713
Pr 0.600 0.500 0.287
Pr 0.900 0.000 0.713
Tc 0.191 0.000 0.831
Tc 0.309 0.500 0.169
Tc 0.691 0.500 0.831
Tc 0.809 0.000 0.169
B 0.119 0.500 0.943
B 0.381 0.000 0.057
B 0.619 0.000 0.943
B 0.881 0.500 0.057

# 4
The following is a DFT calculation (PBE-GGA) of Ga6CoAg after structural relaxation.

Calculated values
Spin magnetization   0.00 μB per cell
DFT formation energy   -0.1 eV per formula unit
Symmetry   C2/m (12)
Crystal system   monoclinic

a = 6.835 Å, b = 8.327 Å, c = 5.383 Å
α = 90.00°, β = 107.56°, γ = 90.00°
Positions (direct):
Ga 0.090 0.207 0.298
Ga 0.090 0.793 0.298
Ga 0.203 0.500 0.119
Ga 0.297 0.000 0.881
Ga 0.410 0.293 0.702
Ga 0.410 0.707 0.702
Ga 0.590 0.293 0.298
Ga 0.590 0.707 0.298
Ga 0.703 0.000 0.119
Ga 0.797 0.500 0.881
Ga 0.910 0.207 0.702
Ga 0.910 0.793 0.702
Co 0.000 0.000 0.000
Co 0.500 0.500 0.000
Ag 0.000 0.500 0.500
Ag 0.500 0.000 0.500